Material: Ca3Pu2Ir4
Method: DFT, PBE
State: optimized geometry

Calculated values
The density comes out at 10.74 g/cm3. The calculation puts the uncorrected energy at -0.3000 hartree per atom. For the formation energy, the calculation gives -373 meV per atom. The calculation puts the density of states at the Fermi level at 12.91 states/eV/cell.

Lattice parameters (Å, degrees): 5.9214 5.9214 9.1433 100.85 100.85 42.71
Closest atoms and distances in Å follow each position.
Sites, in units of the cell vectors:
Ca  0.0000  0.0000  0.0000  6 Ir 3.17-3.46
Ca  0.3710  0.3710  0.6110  6 Ir 3.02-3.18, 1 Pu 3.36
Ca  0.6290  0.6290  0.3890  6 Ir 3.02-3.18, 1 Pu 3.36
Pu  0.3299  0.3299  0.2146  5 Ir 2.64-2.77
Pu  0.6701  0.6701  0.7854  5 Ir 2.64-2.77
Ir  0.0848  0.0848  0.6202  1 Ir 2.58, 2 Pu 2.69
Ir  0.2884  0.2884  0.9061  3 Pu 2.64-2.77
Ir  0.7116  0.7116  0.0939  3 Pu 2.64-2.77
Ir  0.9152  0.9152  0.3798  1 Ir 2.58, 2 Pu 2.69

=====

Material: Ag2GeBr4
Method: DFT, PBE
State: optimized geometry

Calculated values
The density comes out at 4.18 g/cm3. The calculation puts the uncorrected energy at -0.1034 hartree per atom. The calculation puts the density of states at the Fermi level at 0.00 states/eV/cell.

Lattice parameters (Å, degrees): 7.5953 7.5953 7.5953 131.39 131.39 71.19
Closest atoms and distances in Å follow each position.
Sites, in units of the cell vectors:
Ag  0.2500  0.7500  0.5000  4 Br 2.73
Ag  0.7500  0.2500  0.5000  4 Br 2.73
Ge  0.0000  0.0000  0.0000  4 Br 2.72
Br  0.1355  0.6224  0.0000  1 Ge 2.72, 2 Ag 2.73
Br  0.3776  0.3776  0.5131  1 Ge 2.72, 2 Ag 2.73
Br  0.6224  0.1355  0.0000  1 Ge 2.72, 2 Ag 2.73
Br  0.8645  0.8645  0.4869  1 Ge 2.72, 2 Ag 2.73

=====

Material: AgC4
Method: DFT, PBE
State: optimized geometry

Calculated values
The density comes out at 3.59 g/cm3. The calculation puts the uncorrected energy at -0.2201 hartree per atom. For the formation energy, the calculation gives 1960 meV per atom. The calculation puts the density of states at the Fermi level at 0.02 states/eV/cell.

Lattice parameters (Å, degrees): 4.5430 4.5430 4.5430 108.24 108.24 111.96
Closest atoms and distances in Å follow each position.
Sites, in units of the cell vectors:
Ag  0.0000  0.0000  0.0000  4 C 2.03
C  0.0000  0.3820  0.3820  1 C 1.26
C  0.0000  0.6180  0.6180  1 C 1.26
C  0.3820  0.0000  0.3820  1 C 1.26
C  0.6180  0.0000  0.6180  1 C 1.26

=====

Material: Zr2PbSe
Method: DFT, PBE
State: optimized geometry

Calculated values
The density comes out at 8.38 g/cm3. The calculation puts the uncorrected energy at -0.2459 hartree per atom. The calculation puts the density of states at the Fermi level at 1.22 states/eV/cell.

Lattice parameters (Å, degrees): 7.4276 7.4276 7.4276 30.37 30.37 30.37
Closest atoms and distances in Å follow each position.
Sites, in units of the cell vectors:
Zr  0.0000  0.0000  0.0000  3 Se 2.68
Zr  0.1947  0.1947  0.1947  3 Se 2.69
Pb  0.4294  0.4294  0.4294  6 Zr 3.03-3.07
Se  0.5981  0.5981  0.5981  6 Zr 2.68-2.69

=====

Material: ZrScCu2
Method: DFT, PBE
State: optimized geometry

Calculated values
The density comes out at 5.98 g/cm3. The calculation puts the uncorrected energy at -0.2077 hartree per atom. For the formation energy, the calculation gives 117 meV per atom. The calculation puts the density of states at the Fermi level at 5.61 states/eV/cell.

Lattice parameters (Å, degrees): 8.8672 8.8672 8.8672 20.26 20.26 20.26
Closest atoms and distances in Å follow each position.
Sites, in units of the cell vectors:
Zr  0.0000  0.0000  0.0000  6 Cu 2.87, 6 Zr 3.12
Sc  0.5000  0.5000  0.5000  6 Cu 2.77
Cu  0.2476  0.2476  0.2476  3 Sc 2.77, 3 Zr 2.87
Cu  0.7524  0.7524  0.7524  3 Sc 2.77, 3 Zr 2.87

=====

Material: Zr2FeRe
Method: DFT, PBE
State: optimized geometry

Calculated values
The density comes out at 10.16 g/cm3. The calculation puts the uncorrected energy at -0.3465 hartree per atom. For the formation energy, the calculation gives 73 meV per atom. The calculation puts the density of states at the Fermi level at 4.93 states/eV/cell.

Lattice parameters (Å, degrees): 2.9247 2.9247 8.6315 90.00 90.00 109.96
Closest atoms and distances in Å follow each position.
Sites, in units of the cell vectors:
Zr  0.0000  0.0000  0.2415  2 Fe 2.68, 2 Re 2.79, 4 Zr 2.92
Zr  0.0000  0.0000  0.7585  2 Fe 2.68, 2 Re 2.79, 4 Zr 2.92
Fe  0.5000  0.5000  0.0000  4 Zr 2.68, 4 Fe 2.92
Re  0.5000  0.5000  0.5000  4 Zr 2.79, 4 Re 2.92

=====

Material: AcMg8Al2Cd
Method: DFT, PBE
State: optimized geometry

Calculated values
The density comes out at 3.25 g/cm3. The calculation puts the uncorrected energy at -0.0767 hartree per atom. For the formation energy, the calculation gives 19 meV per atom. The calculation puts the density of states at the Fermi level at 3.08 states/eV/cell.

Lattice parameters (Å, degrees): 5.3017 5.3017 12.1021 102.99 102.99 66.62
Closest atoms and distances in Å follow each position.
Sites, in units of the cell vectors:
Ac  0.0000  0.0000  0.0000  6 Al 3.29-3.40, 2 Mg 3.44
Mg  0.2196  0.7204  0.7012  1 Al 2.84, 5 Mg 2.91-3.15, 1 Cd 2.91
Mg  0.2708  0.2708  0.8430  2 Al 2.95-2.96, 4 Mg 3.11-3.13
Mg  0.2796  0.7804  0.2988  1 Al 2.84, 5 Mg 2.91-3.15, 1 Cd 2.91
Mg  0.3249  0.3249  0.4562  7 Mg 3.00-3.31, 3 Cd 3.06-3.27
Mg  0.6751  0.6751  0.5438  7 Mg 3.00-3.31, 3 Cd 3.06-3.27
Mg  0.7204  0.2196  0.7012  1 Al 2.84, 5 Mg 2.91-3.15, 1 Cd 2.91
Mg  0.7292  0.7292  0.1570  2 Al 2.95-2.96, 4 Mg 3.11-3.13
Mg  0.7804  0.2796  0.2988  1 Al 2.84, 5 Mg 2.91-3.15, 1 Cd 2.91
Al  0.3839  0.3839  0.0965  4 Mg 2.84-2.96
Al  0.6161  0.6161  0.9035  4 Mg 2.84-2.96
Cd  0.0000  0.0000  0.5000  6 Mg 2.91-3.06

=====

Material: Pm2Ga3Cu4Si
Method: DFT, PBE
State: optimized geometry

Calculated values
The density comes out at 7.40 g/cm3. The calculation puts the uncorrected energy at -0.1649 hartree per atom. The calculation puts the density of states at the Fermi level at 5.95 states/eV/cell.

Lattice parameters (Å, degrees): 4.1990 4.1990 9.9419 90.00 90.00 90.00
Closest atoms and distances in Å follow each position.
Sites, in units of the cell vectors:
Pm  0.0000  0.5000  0.2483  6 Ga 3.20-3.24, 8 Cu 3.21-3.27, 2 Si 3.24
Pm  0.5000  0.0000  0.7517  6 Ga 3.20-3.24, 8 Cu 3.21-3.27, 2 Si 3.24
Ga  0.0000  0.0000  0.0000  4 Cu 2.44
Ga  0.0000  0.5000  0.6306  5 Cu 2.43-2.47
Ga  0.5000  0.0000  0.3694  5 Cu 2.43-2.47
Cu  0.0000  0.0000  0.5000  4 Ga 2.47
Cu  0.0000  0.5000  0.8753  3 Ga 2.43-2.44, 2 Si 2.44
Cu  0.5000  0.0000  0.1247  3 Ga 2.43-2.44, 2 Si 2.44
Cu  0.5000  0.5000  0.5000  4 Ga 2.47
Si  0.5000  0.5000  0.0000  4 Cu 2.44

=====

- Number 2 is which compound?
  Ag2GeBr4